# 1
First-principles (PBE) data for an optimized crystal structure of Pm2Pr6Dy, as listed in the Alexandria database.

The structure in POSCAR format:
```
Pm2Pr6Dy
1.0
8.347 0.000 0.000
0.000 8.347 0.000
0.000 0.000 10.644
Pm Pr Dy
4 12 2
Cartesian
0.000 0.000 1.789
0.000 0.000 8.856
4.173 4.173 3.534
4.173 4.173 7.111
1.986 1.986 3.545
1.986 1.986 7.099
1.991 1.991 0.000
2.182 6.165 5.322
2.187 6.160 1.777
2.187 6.160 8.868
6.160 2.187 1.777
6.160 2.187 8.868
6.165 2.182 5.322
6.355 6.355 0.000
6.361 6.361 3.545
6.361 6.361 7.099
0.000 0.000 5.322
4.173 4.173 0.000
```

Results
Its space-group type is P4_2/mnm. The formation energy comes out at 0.582 eV per atom.

# 2
First-principles (PBE) data for an optimized crystal structure of SnGe5Br12, as listed in the Alexandria database.

The structure in POSCAR format:
```
SnGe5Br12
1.0
3.562 -6.178 0.000
3.562 6.178 0.000
-0.018 0.000 14.204
Sn Ge Br
1 5 12
Cartesian
0.000 0.000 0.000
3.553 4.118 7.102
3.562 2.059 0.000
3.553 0.000 7.102
3.562 -2.059 0.000
3.553 -4.118 7.102
1.248 2.167 1.652
5.859 -2.167 12.552
1.178 0.000 5.514
2.367 2.059 8.688
1.248 -2.167 1.652
2.482 0.000 12.551
2.367 -2.059 8.688
4.740 2.059 5.516
5.859 2.167 12.552
4.624 0.000 1.652
4.740 -2.059 5.516
5.929 0.000 8.690
```

Results
Its space-group type is C2/m. For the formation energy from raw total energies, the calculation gives -587.6 meV/atom.

# 3
First-principles (PBE) data for an optimized crystal structure of Tm2NiAg, as listed in the Alexandria database.

The structure in POSCAR format:
```
Tm2NiAg
1.0
0.000 3.466 3.466
3.466 0.000 3.466
3.466 3.466 0.000
Tm Ni Ag
2 1 1
Cartesian
1.733 1.733 1.733
5.199 5.199 5.199
0.000 0.000 0.000
3.466 3.466 3.466
```

Results
Its space-group type is Fm-3m. The formation energy comes out at -0.350 eV per atom.

# 4
First-principles (PBE) data for an optimized crystal structure of P2OsPb, as listed in the Alexandria database.

The structure in POSCAR format:
```
P2OsPb
1.0
3.930 0.000 0.000
0.000 3.930 0.000
0.000 0.000 4.601
P Os Pb
2 1 1
Cartesian
0.000 1.965 0.000
1.965 0.000 0.000
0.000 0.000 2.301
1.965 1.965 2.301
```

Results
Its space-group type is P4/mmm. The formation energy comes out at 1.073 eV per atom.

# 5
First-principles (PBE) data for an optimized crystal structure of LiAlCo2, as listed in the Alexandria database.

The structure in POSCAR format:
```
LiAlCo2
1.0
2.856 0.000 0.000
0.000 2.856 0.000
0.000 0.000 5.541
Li Al Co
1 1 2
Cartesian
0.000 0.000 0.000
0.000 0.000 2.770
1.428 1.428 1.346
1.428 1.428 4.194
```

Results
Its space-group type is P4/mmm. The formation energy comes out at -0.046 eV per atom.

# 6
First-principles (PBE) data for an optimized crystal structure of MnB2W2, as listed in the Alexandria database.

The structure in POSCAR format:
```
MnB2W2
1.0
5.811 0.000 0.000
0.000 5.811 0.000
0.000 0.000 3.177
Mn B W
2 4 4
Cartesian
0.000 0.000 0.000
2.906 2.906 0.000
0.661 2.245 0.000
2.245 5.151 0.000
3.566 0.661 0.000
5.151 3.566 0.000
1.036 3.941 1.589
1.870 1.036 1.589
3.941 4.775 1.589
4.775 1.870 1.589
```

Results
Its space-group type is P4/mbm. The formation energy comes out at -0.410 eV per atom.

Short version: uncorrected energy = -4.171 -3.208 -4.743 -5.367 -5.013 -10.096 eV per atom, in the order given.
Short version: DOS(E_F) = 14.75 0.00 3.66 1.74 5.48 2.61 states/eV/f.u., in the order given.